*one*
Tb3YCu2, relaxed, DFT PBE; SG = Pmc2_1 (26)
1.0
4.925 0.000 0.000
0.000 8.750 0.000
0.000 0.000 6.914
Tb Y Cu
6 2 4
Direct
0.000 0.077 0.000 Tb
0.000 0.334 0.370 Tb
0.000 0.666 0.870 Tb
0.000 0.923 0.500 Tb
0.500 0.163 0.657 Tb
0.500 0.837 0.157 Tb
0.500 0.425 0.027 Y
0.500 0.575 0.527 Y
0.000 0.350 0.773 Cu
0.000 0.650 0.273 Cu
0.500 0.152 0.254 Cu
0.500 0.848 0.754 Cu


*two*
Tb3YCu2, relaxed, DFT PBE; SG = Ibam (72)
1.0
-3.409 6.725 3.604
3.409 -6.725 3.604
3.409 6.725 -3.604
Tb Y Cu
6 2 4
Direct
0.016 0.750 0.266 Tb
0.250 0.250 0.000 Tb
0.484 0.750 0.734 Tb
0.516 0.250 0.266 Tb
0.750 0.750 0.000 Tb
0.984 0.250 0.734 Tb
0.000 0.500 0.500 Y
0.500 0.000 0.500 Y
0.142 0.207 0.349 Cu
0.358 0.707 0.065 Cu
0.642 0.293 0.935 Cu
0.858 0.793 0.651 Cu


Stability, lowest: *two*


*one*
TbYZnCu, relaxed, DFT PBE; SG = F-43m (216)
1.0
0.000 3.533 3.533
3.533 0.000 3.533
3.533 3.533 0.000
Tb Y Zn Cu
1 1 1 1
Direct
0.000 0.000 0.000 Tb
0.500 0.500 0.500 Y
0.750 0.750 0.750 Zn
0.250 0.250 0.250 Cu


*two*
TbYZnCu, relaxed, DFT PBE; SG = P4mm (99)
1.0
3.529 0.000 0.000
0.000 3.529 0.000
0.000 0.000 7.088
Tb Y Zn Cu
1 1 1 1
Direct
0.000 0.000 0.000 Tb
0.000 0.000 0.487 Y
0.500 0.500 0.744 Zn
0.500 0.500 0.241 Cu


Stability, lowest: *one*


*one*
Tb2Zn5Cu5, relaxed, DFT PBE; SG = Pmmm (47)
1.0
4.184 0.000 0.000
0.000 5.165 0.000
0.000 0.000 8.897
Tb Zn Cu
2 5 5
Direct
0.000 0.000 0.000 Tb
0.000 0.500 0.500 Tb
0.500 0.000 0.500 Zn
0.500 0.251 0.245 Zn
0.500 0.251 0.755 Zn
0.500 0.749 0.245 Zn
0.500 0.749 0.755 Zn
0.000 0.000 0.335 Cu
0.000 0.000 0.665 Cu
0.000 0.500 0.163 Cu
0.000 0.500 0.837 Cu
0.500 0.500 0.000 Cu


*two*
Tb2Zn5Cu5, relaxed, DFT PBE; SG = Pmmm (47)
1.0
4.059 0.000 0.000
0.000 5.212 0.000
0.000 0.000 9.153
Tb Zn Cu
2 5 5
Direct
0.000 0.000 0.000 Tb
0.000 0.500 0.500 Tb
0.000 0.000 0.326 Zn
0.000 0.000 0.674 Zn
0.000 0.500 0.167 Zn
0.000 0.500 0.833 Zn
0.500 0.000 0.500 Zn
0.500 0.252 0.249 Cu
0.500 0.252 0.751 Cu
0.500 0.500 0.000 Cu
0.500 0.748 0.249 Cu
0.500 0.748 0.751 Cu


Stability, lowest: *two*


*one*
TbZn4Cu, relaxed, DFT PBE; SG = Cmcm (63)
1.0
2.011 -7.686 0.000
2.011 7.686 0.000
0.000 0.000 6.723
Tb Zn Cu
2 8 2
Direct
0.122 0.878 0.750 Tb
0.878 0.122 0.250 Tb
0.073 0.927 0.250 Zn
0.323 0.677 0.559 Zn
0.323 0.677 0.941 Zn
0.500 0.500 0.000 Zn
0.500 0.500 0.500 Zn
0.677 0.323 0.059 Zn
0.677 0.323 0.441 Zn
0.927 0.073 0.750 Zn
0.234 0.766 0.250 Cu
0.766 0.234 0.750 Cu


*two*
TbZn4Cu, relaxed, DFT PBE; SG = F-43m (216)
1.0
0.000 3.708 3.708
3.708 0.000 3.708
3.708 3.708 0.000
Tb Zn Cu
1 4 1
Direct
0.000 0.000 0.000 Tb
0.375 0.375 0.375 Zn
0.375 0.375 0.874 Zn
0.375 0.874 0.375 Zn
0.874 0.375 0.375 Zn
0.750 0.750 0.750 Cu


Stability, lowest: *two*


*one*
Tb2ZnCu3, relaxed, DFT PBE; SG = Fmmm (69)
1.0
0.000 4.354 7.414
3.533 0.000 7.414
3.533 4.354 0.000
Tb Zn Cu
4 2 6
Direct
0.246 0.754 0.754 Tb
0.250 0.250 0.250 Tb
0.750 0.750 0.750 Tb
0.754 0.246 0.246 Tb
0.333 0.333 0.667 Zn
0.667 0.667 0.333 Zn
0.165 0.165 0.835 Cu
0.166 0.667 0.333 Cu
0.333 0.834 0.166 Cu
0.667 0.166 0.834 Cu
0.834 0.333 0.667 Cu
0.835 0.835 0.165 Cu


*two*
Tb2ZnCu3, relaxed, DFT PBE; SG = Cm (8)
1.0
4.973 -2.173 0.000
4.973 2.173 0.000
-4.546 0.000 5.142
Tb Zn Cu
2 1 3
Direct
0.000 0.000 0.000 Tb
0.089 0.089 0.591 Tb
0.377 0.377 0.186 Zn
0.382 0.382 0.586 Cu
0.707 0.707 0.007 Cu
0.712 0.712 0.410 Cu


Stability, lowest: *one*


*one*
Tb3Zn4Cu2, relaxed, DFT PBE; SG = C2/m (12)
1.0
4.837 -2.249 0.000
4.837 2.249 0.000
-2.243 0.000 8.229
Tb Zn Cu
3 4 2
Direct
0.000 0.000 0.000 Tb
0.372 0.372 0.304 Tb
0.628 0.628 0.696 Tb
0.096 0.096 0.417 Zn
0.285 0.285 0.931 Zn
0.715 0.715 0.069 Zn
0.904 0.904 0.583 Zn
0.328 0.328 0.661 Cu
0.672 0.672 0.339 Cu


*two*
Tb3Zn4Cu2, relaxed, DFT PBE; SG = C2/m (12)
1.0
5.210 -2.201 0.000
5.210 2.201 0.000
-3.344 0.000 7.760
Tb Zn Cu
3 4 2
Direct
0.000 0.000 0.000 Tb
0.324 0.324 0.345 Tb
0.676 0.676 0.655 Tb
0.039 0.039 0.373 Zn
0.276 0.276 0.939 Zn
0.724 0.724 0.061 Zn
0.961 0.961 0.627 Zn
0.402 0.402 0.733 Cu
0.598 0.598 0.267 Cu


Stability, lowest: *one*


*one*
Tb2Zn5Cu3, relaxed, DFT PBE; SG = Cmc2_1 (36)
1.0
2.174 -11.856 0.000
2.174 11.856 0.000
0.000 0.000 6.672
Tb Zn Cu
4 10 6
Direct
0.018 0.982 0.500 Tb
0.325 0.675 0.451 Tb
0.675 0.325 0.951 Tb
0.982 0.018 0.000 Tb
0.106 0.894 0.172 Zn
0.202 0.798 0.624 Zn
0.212 0.788 0.241 Zn
0.374 0.626 0.993 Zn
0.448 0.552 0.305 Zn
0.552 0.448 0.805 Zn
0.626 0.374 0.493 Zn
0.788 0.212 0.741 Zn
0.798 0.202 0.124 Zn
0.894 0.106 0.672 Zn
0.107 0.893 0.782 Cu
0.269 0.731 0.927 Cu
0.446 0.554 0.704 Cu
0.554 0.446 0.204 Cu
0.731 0.269 0.427 Cu
0.893 0.107 0.282 Cu


*two*
Tb2Zn5Cu3, relaxed, DFT PBE; SG = Ibam (72)
1.0
-5.499 5.591 2.844
5.499 -5.591 2.844
5.499 5.591 -2.844
Tb Zn Cu
4 10 6
Direct
0.128 0.246 0.374 Tb
0.372 0.746 0.117 Tb
0.628 0.254 0.883 Tb
0.872 0.754 0.626 Tb
0.002 0.750 0.252 Zn
0.117 0.641 0.758 Zn
0.250 0.250 0.000 Zn
0.383 0.141 0.524 Zn
0.498 0.750 0.748 Zn
0.502 0.250 0.252 Zn
0.617 0.859 0.476 Zn
0.750 0.750 0.000 Zn
0.883 0.359 0.242 Zn
0.998 0.250 0.748 Zn
0.125 0.861 0.986 Cu
0.250 0.750 0.500 Cu
0.375 0.361 0.735 Cu
0.625 0.639 0.265 Cu
0.750 0.250 0.500 Cu
0.875 0.139 0.014 Cu


Stability, lowest: *one*


*one*
TbZn9Cu2, relaxed, DFT PBE; SG = I4_1/amd (141)
1.0
-5.247 5.247 3.349
5.247 -5.247 3.349
5.247 5.247 -3.349
Tb Zn Cu
2 18 4
Direct
0.375 0.625 0.750 Tb
0.625 0.375 0.250 Tb
0.125 0.875 0.250 Zn
0.135 0.560 0.333 Zn
0.135 0.802 0.575 Zn
0.198 0.273 0.333 Zn
0.198 0.865 0.925 Zn
0.273 0.198 0.833 Zn
0.273 0.440 0.075 Zn
0.440 0.273 0.575 Zn
0.440 0.865 0.167 Zn
0.560 0.135 0.833 Zn
0.560 0.727 0.425 Zn
0.727 0.560 0.925 Zn
0.727 0.802 0.167 Zn
0.802 0.135 0.075 Zn
0.802 0.727 0.667 Zn
0.865 0.198 0.425 Zn
0.865 0.440 0.667 Zn
0.875 0.125 0.750 Zn
0.000 0.000 0.000 Cu
0.000 0.000 0.500 Cu
0.000 0.500 0.000 Cu
0.500 0.000 0.500 Cu


*two*
TbZn9Cu2, relaxed, DFT PBE; SG = P6/mmm (191)
1.0
8.505 0.000 0.000
-4.253 7.366 0.000
0.000 0.000 3.017
Tb Zn Cu
1 9 2
Direct
0.000 0.000 0.000 Tb
0.000 0.500 0.000 Zn
0.187 0.374 0.500 Zn
0.187 0.813 0.500 Zn
0.374 0.187 0.500 Zn
0.500 0.000 0.000 Zn
0.500 0.500 0.000 Zn
0.626 0.813 0.500 Zn
0.813 0.187 0.500 Zn
0.813 0.626 0.500 Zn
0.333 0.667 0.000 Cu
0.667 0.333 0.000 Cu


Stability, lowest: *two*


*one*
TbZn2Cu4, relaxed, DFT PBE; SG = C2/m (12)
1.0
4.070 -3.213 0.000
4.070 3.213 0.000
-3.013 0.000 4.011
Tb Zn Cu
1 2 4
Direct
0.000 0.000 0.000 Tb
0.498 0.498 0.247 Zn
0.502 0.502 0.753 Zn
0.001 0.620 0.312 Cu
0.380 0.999 0.688 Cu
0.620 0.001 0.312 Cu
0.999 0.380 0.688 Cu


*two*
TbZn2Cu4, relaxed, DFT PBE; SG = I4/mmm (139)
1.0
-3.652 3.652 2.570
3.652 -3.652 2.570
3.652 3.652 -2.570
Tb Zn Cu
1 2 4
Direct
0.000 0.000 0.000 Tb
0.250 0.750 0.500 Zn
0.750 0.250 0.500 Zn
0.275 0.500 0.775 Cu
0.500 0.275 0.775 Cu
0.500 0.725 0.225 Cu
0.725 0.500 0.225 Cu


Stability, lowest: *two*


*one*
Tb12ZnCu6, relaxed, DFT PBE; SG = Im-3 (204)
1.0
-4.925 4.925 4.925
4.925 -4.925 4.925
4.925 4.925 -4.925
Tb Zn Cu
12 1 6
Direct
0.106 0.812 0.294 Tb
0.188 0.294 0.483 Tb
0.188 0.706 0.894 Tb
0.294 0.106 0.812 Tb
0.294 0.483 0.188 Tb
0.483 0.188 0.294 Tb
0.517 0.812 0.706 Tb
0.706 0.517 0.812 Tb
0.706 0.894 0.188 Tb
0.812 0.294 0.106 Tb
0.812 0.706 0.517 Tb
0.894 0.188 0.706 Tb
0.000 0.000 0.000 Zn
0.124 0.624 0.500 Cu
0.376 0.500 0.876 Cu
0.500 0.124 0.624 Cu
0.500 0.876 0.376 Cu
0.624 0.500 0.124 Cu
0.876 0.376 0.500 Cu


*two*
Tb12ZnCu6, relaxed, DFT PBE; SG = R-3 (148)
1.0
6.956 4.016 2.884
-6.956 4.016 2.884
0.000 -8.032 2.884
Tb Zn Cu
12 1 6
Direct
0.009 0.135 0.692 Tb
0.135 0.692 0.009 Tb
0.158 0.374 0.470 Tb
0.308 0.991 0.865 Tb
0.374 0.470 0.158 Tb
0.470 0.158 0.374 Tb
0.530 0.842 0.626 Tb
0.626 0.530 0.842 Tb
0.692 0.009 0.135 Tb
0.842 0.626 0.530 Tb
0.865 0.308 0.991 Tb
0.991 0.865 0.308 Tb
0.000 0.000 0.000 Zn
0.155 0.642 0.343 Cu
0.343 0.155 0.642 Cu
0.358 0.657 0.845 Cu
0.642 0.343 0.155 Cu
0.657 0.845 0.358 Cu
0.845 0.358 0.657 Cu


Stability, lowest: *two*